{"formula": "ZrCu2Si", "functional": "PBE", "state": "optimized geometry", "cell": [[4.391, 0.000, 0.000], [-0.010, 4.391, 0.000], [-2.191, -2.196, 3.109]], "species": ["Zr", "Si", "Cu", "Cu"], "frac_coords": [[0.750, 0.250, 0.500], [0.500, 0.500, 0.000], [0.250, 0.750, 0.500], [0.000, 0.000, 0.000]], "magnetic_moment_mub_per_fu": 0.000, "total_energy_ev_per_atom": -5.73, "raw_formation_energy_ev_per_atom": -0.19, "sg": "I-4m2, No. 119"}